DFT (GGA-PBE) results for Ca2P2Pd after structural relaxation.

Calculated values
- Theoretical density: 4.2 g/cm³
- Energy relative to the lowest polymorph listed for this composition: 80 meV/atom
- Size of the total moment: 0.000 μB per cell
- Formation energy from the elements: -0.917 eV per atom
- SG: P4/mbm, No. 127

abc: 6.7671 6.7671 4.2618
angles: 90.00 90.00 90.00
Last column: nearest neighbours and their distance in Å.
Fractional coordinates of all 10 atoms:
P1 0.3801 0.8801 0.0000  1 P 2.30
P2 0.8801 0.6199 0.0000  1 P 2.30
P3 0.1199 0.3801 0.0000  1 P 2.30
P4 0.6199 0.1199 0.0000  1 P 2.30
Ca1 0.8209 0.3209 0.5000  6 P 2.87-2.97
Ca2 0.1791 0.6791 0.5000  6 P 2.87-2.97
Ca3 0.6791 0.8209 0.5000  6 P 2.87-2.97
Ca4 0.3209 0.1791 0.5000  6 P 2.87-2.97
Pd1 0.5000 0.5000 0.0000  4 P 2.70
Pd2 0.0000 0.0000 0.0000  4 P 2.70



DFT (GGA-PBE) results for CaP3Pd after structural relaxation.

Calculated values
- Theoretical density: 3.0 g/cm³
- Energy relative to the lowest polymorph listed for this composition: 1211 meV/atom
- Size of the total moment: 0.000 μB per cell
- Formation energy from the elements: 1.344 eV per atom
- SG: Pm-3m, No. 221

abc: 5.0964 5.0964 5.0964
angles: 90.00 90.00 90.00
Last column: nearest neighbours and their distance in Å.
Fractional coordinates of all 5 atoms:
Pd1 0.5000 0.5000 0.5000  12 P 3.60
Ca1 0.0000 0.0000 0.0000  6 P 2.55
P1 0.0000 0.0000 0.5000  2 Ca 2.55
P2 0.0000 0.5000 0.0000  2 Ca 2.55
P3 0.5000 0.0000 0.0000  2 Ca 2.55



DFT (GGA-PBE) results for Ca4PPd2 after structural relaxation.

Calculated values
- Theoretical density: 3.2 g/cm³
- Size of the total moment: 0.000 μB per cell
- Formation energy from the elements: -0.547 eV per atom
- SG: I4/mmm, No. 139

abc: 5.4984 5.4984 7.9697
angles: 69.82 69.82 90.00
Last column: nearest neighbours and their distance in Å.
Fractional coordinates of all 7 atoms:
Ca1 0.5000 0.0000 0.0000  2 P 2.75
Ca2 0.1979 0.1979 0.6042  1 P 2.75, 1 Pd 2.82
Ca3 0.8021 0.8021 0.3958  1 P 2.75, 1 Pd 2.82
Ca4 0.0000 0.5000 0.0000  2 P 2.75
Pd1 0.5997 0.5997 0.8006  1 Pd 2.77, 5 Ca 2.82-3.08
Pd2 0.4003 0.4003 0.1994  1 Pd 2.77, 5 Ca 2.82-3.08
P1 0.0000 0.0000 0.0000  6 Ca 2.75



DFT (GGA-PBE) results for CaP2Pd7 after structural relaxation.

Calculated values
- Theoretical density: 8.6 g/cm³
- Size of the total moment: 0.000 μB per cell
- Formation energy from the elements: -0.549 eV per atom
- SG: I4/mmm, No. 139

abc: 4.0254 4.0254 10.4690
angles: 101.08 101.08 90.00
Last column: nearest neighbours and their distance in Å.
Fractional coordinates of all 10 atoms:
Ca1 0.0000 0.0000 0.0000  12 Pd 2.85-2.99
Pd1 0.3901 0.8901 0.7802  2 P 2.39
Pd2 0.6099 0.1099 0.2198  2 P 2.39
Pd3 0.7500 0.2500 0.5000  4 P 2.54, 2 Pd 2.82
Pd4 0.2500 0.7500 0.5000  4 P 2.54, 2 Pd 2.82
Pd5 0.8901 0.3901 0.7802  2 P 2.39
Pd6 0.5000 0.5000 0.0000  4 Ca 2.85, 8 Pd 2.99
Pd7 0.1099 0.6099 0.2198  2 P 2.39
P1 0.6735 0.6735 0.3469  8 Pd 2.39-2.54
P2 0.3265 0.3265 0.6531  8 Pd 2.39-2.54



DFT (GGA-PBE) results for CaP2Pd9 after structural relaxation.

Calculated values
- Theoretical density: 9.0 g/cm³
- Size of the total moment: 0.000 μB per cell
- Formation energy from the elements: -0.376 eV per atom
- SG: I4_1/amd, No. 141

abc: 6.6528 8.3594 8.3594
angles: 80.89 66.55 66.55
Last column: nearest neighbours and their distance in Å.
Fractional coordinates of all 24 atoms:
Pd1 0.1335 0.4356 0.1877  2 P 2.50-2.61, 6 Pd 2.69-2.78
Pd2 0.6165 0.0644 0.3123  2 P 2.50-2.61, 6 Pd 2.69-2.78
Pd3 0.1335 0.1877 0.4356  2 P 2.50-2.61, 6 Pd 2.69-2.78
Pd4 0.7569 0.8123 0.5644  2 P 2.50-2.61, 6 Pd 2.69-2.78
Pd5 0.6787 0.1877 0.5644  2 P 2.50-2.61, 6 Pd 2.69-2.78
Pd6 0.7500 0.5000 0.5000  8 Pd 2.77, 4 P 2.84
Pd7 0.9931 0.9356 0.6877  2 P 2.50-2.61, 6 Pd 2.69-2.78
Pd8 0.0713 0.3123 0.9356  2 P 2.50-2.61, 6 Pd 2.69-2.78
Pd9 0.0713 0.9356 0.3123  2 P 2.50-2.61, 6 Pd 2.69-2.78
Pd10 0.6165 0.3123 0.0644  2 P 2.50-2.61, 6 Pd 2.69-2.78
Pd11 0.3192 0.0644 0.6877  2 P 2.50-2.61, 6 Pd 2.69-2.78
Pd12 0.3192 0.6877 0.0644  2 P 2.50-2.61, 6 Pd 2.69-2.78
Pd13 0.4308 0.8123 0.4356  2 P 2.50-2.61, 6 Pd 2.69-2.78
Pd14 0.4308 0.4356 0.8123  2 P 2.50-2.61, 6 Pd 2.69-2.78
Pd15 0.9931 0.6877 0.9356  2 P 2.50-2.61, 6 Pd 2.69-2.78
Pd16 0.6787 0.5644 0.1877  2 P 2.50-2.61, 6 Pd 2.69-2.78
Pd17 0.0000 0.0000 0.0000  8 Pd 2.77, 4 P 2.84
Pd18 0.7569 0.5644 0.8123  2 P 2.50-2.61, 6 Pd 2.69-2.78
Ca1 0.2500 0.5000 0.5000  10 Pd 3.18-3.33
Ca2 0.5000 0.0000 0.0000  10 Pd 3.18-3.33
P1 0.8750 0.2500 0.2500  8 Pd 2.50-2.61
P2 0.8750 0.7500 0.2500  8 Pd 2.50-2.61
P3 0.8750 0.2500 0.7500  8 Pd 2.50-2.61
P4 0.3750 0.7500 0.7500  8 Pd 2.50-2.61



DFT (GGA-PBE) results for CaP6Pd after structural relaxation.

Calculated values
- Theoretical density: 3.3 g/cm³
- Size of the total moment: 0.000 μB per cell
- Formation energy from the elements: -0.358 eV per atom
- SG: C2/m, No. 12

abc: 6.1495 5.6902 5.6903
angles: 93.49 67.08 112.91
Last column: nearest neighbours and their distance in Å.
Fractional coordinates of all 8 atoms:
P1 0.6777 0.4620 0.9442  2 P 2.23, 1 Pd 2.41
P2 0.1935 0.5181 0.4819  3 P 2.23
P3 0.3223 0.5380 0.0558  2 P 2.23, 1 Pd 2.41
P4 0.8065 0.4819 0.5181  3 P 2.23
P5 0.6777 0.0558 0.5380  2 P 2.23, 1 Pd 2.41
P6 0.3223 0.9442 0.4620  2 P 2.23, 1 Pd 2.41
Ca1 0.0000 0.0000 0.0000  4 P 3.01, 2 Pd 3.07
Pd1 0.5000 0.0000 0.0000  4 P 2.41



DFT (GGA-PBE) results for Ca2P2Pd3 after structural relaxation.

Calculated values
- Theoretical density: 6.0 g/cm³
- Size of the total moment: 0.000 μB per cell
- Formation energy from the elements: -0.831 eV per atom
- SG: C2/m, No. 12

abc: 3.9614 5.4667 7.0025
angles: 113.49 90.00 111.24
Last column: nearest neighbours and their distance in Å.
Fractional coordinates of all 7 atoms:
Pd1 0.6367 0.2734 0.4372  3 P 2.46-2.55
Pd2 0.3633 0.7266 0.5628  3 P 2.46-2.55
Pd3 0.5000 0.0000 0.0000  4 P 2.57, 2 Pd 2.77
P1 0.1516 0.3032 0.2174  5 Pd 2.46-2.57
P2 0.8484 0.6968 0.7826  5 Pd 2.46-2.57
Ca1 0.8674 0.7348 0.2280  4 P 2.93-3.04, 7 Pd 3.08-3.26
Ca2 0.1326 0.2652 0.7720  4 P 2.93-3.04, 7 Pd 3.08-3.26



DFT (GGA-PBE) results for CaP4Pd12 after structural relaxation.

Calculated values
- Theoretical density: 8.2 g/cm³
- Size of the total moment: 0.000 μB per cell
- Formation energy from the elements: -0.443 eV per atom
- SG: Im-3, No. 204

abc: 7.2312 7.2312 7.2312
angles: 109.47 109.47 109.47
Last column: nearest neighbours and their distance in Å.
Fractional coordinates of all 17 atoms:
Pd1 0.5091 0.1731 0.3360  2 P 2.30
Pd2 0.6640 0.4909 0.8269  2 P 2.30
Pd3 0.4909 0.8269 0.6640  2 P 2.30
Pd4 0.1731 0.6640 0.8372  2 P 2.30
Pd5 0.1628 0.8269 0.3360  2 P 2.30
Pd6 0.3360 0.5091 0.1731  2 P 2.30
Pd7 0.6640 0.8372 0.1731  2 P 2.30
Pd8 0.1731 0.3360 0.5091  2 P 2.30
Pd9 0.8269 0.6640 0.4909  2 P 2.30
Pd10 0.3360 0.1628 0.8269  2 P 2.30
Pd11 0.8269 0.3360 0.1628  2 P 2.30
Pd12 0.8372 0.1731 0.6640  2 P 2.30
P1 0.5000 0.0000 0.0000  6 Pd 2.30
P2 0.5000 0.5000 0.5000  6 Pd 2.30
P3 0.0000 0.5000 0.0000  6 Pd 2.30
P4 0.0000 0.0000 0.5000  6 Pd 2.30
Ca1 0.0000 0.0000 0.0000  12 Pd 3.16



DFT (GGA-PBE) results for Ca4P2Pd after structural relaxation.

Calculated values
- Theoretical density: 3.1 g/cm³
- Size of the total moment: 0.000 μB per cell
- Formation energy from the elements: -0.889 eV per atom
- SG: R-3m, No. 166

abc: 4.8452 4.8452 9.0557
angles: 74.48 74.48 60.00
Last column: nearest neighbours and their distance in Å.
Fractional coordinates of all 7 atoms:
P1 0.5944 0.5944 0.2169  1 Pd 2.44
P2 0.4056 0.4056 0.7831  1 Pd 2.44
Ca1 0.7058 0.7058 0.8827  4 P 2.88-2.93
Ca2 0.1202 0.1202 0.6395  3 Pd 3.04, 3 P 3.06
Ca3 0.2942 0.2942 0.1173  4 P 2.88-2.93
Ca4 0.8798 0.8798 0.3605  3 Pd 3.04, 3 P 3.06
Pd1 0.5000 0.5000 0.5000  2 P 2.44



DFT (GGA-PBE) results for CaP2Pd4 after structural relaxation.

Calculated values
- Theoretical density: 7.7 g/cm³
- Energy relative to the lowest polymorph listed for this composition: 3 meV/atom
- Size of the total moment: 0.000 μB per cell
- Formation energy from the elements: -0.728 eV per atom
- SG: Cmmm, No. 65

abc: 4.1844 4.1420 6.9237
angles: 107.40 90.00 90.00
Last column: nearest neighbours and their distance in Å.
Fractional coordinates of all 7 atoms:
Pd1 0.0000 0.6707 0.3414  2 P 2.39
Pd2 0.0000 0.3293 0.6586  2 P 2.39
Pd3 0.5000 0.8250 0.6500  2 P 2.40
Pd4 0.5000 0.1750 0.3500  2 P 2.40
P1 0.5000 0.4161 0.8321  1 P 2.22, 4 Pd 2.39-2.40
P2 0.5000 0.5839 0.1679  1 P 2.22, 4 Pd 2.39-2.40
Ca1 0.0000 0.0000 0.0000  8 Pd 3.06-3.12, 8 P 3.15



Question: Among the records above, which one has the lowest formation energy from the elements?
Answer: Ca2P2Pd



Question: Look up the size of the total moment of the sixth one.
Answer: 0.000 μB per cell